[1]
! NpCoSb2, optimized geometry, DFT PBE; values from VASP
&SYSTEM
  ibrav = 0, nat = 12, ntyp = 3
/
ATOMIC_SPECIES
Np 237.00 Np.upf
Co 58.93 Co.upf
Sb 121.76 Sb.upf
CELL_PARAMETERS angstrom
3.238 0.000 0.000
-1.619 2.804 0.000
0.000 0.000 29.781
ATOMIC_POSITIONS angstrom
Np 0.000 0.000 0.000
Np 0.000 1.869 19.854
Np 1.619 0.935 9.927
Co 0.000 0.000 14.891
Co 0.000 1.869 4.964
Co 1.619 0.935 24.818
Sb 0.000 0.000 3.182
Sb 0.000 0.000 26.599
Sb 0.000 1.869 16.672
Sb 0.000 1.869 23.036
Sb 1.619 0.935 6.745
Sb 1.619 0.935 13.109
! Final energy   -81.5 eV for the cell shown

[2]
! NpScCo2, optimized geometry, DFT PBE; values from VASP
&SYSTEM
  ibrav = 0, nat = 4, ntyp = 3
/
ATOMIC_SPECIES
Np 237.00 Np.upf
Sc 44.96 Sc.upf
Co 58.93 Co.upf
CELL_PARAMETERS angstrom
4.599 0.000 0.000
0.000 4.599 0.000
0.000 0.000 3.076
ATOMIC_POSITIONS angstrom
Np 0.000 0.000 0.000
Sc 2.299 2.299 0.000
Co 0.000 2.299 1.538
Co 2.299 0.000 1.538
! Energy of formation from the pure elements   -0.076 eV per atom

[3]
! NpSc2Co9, optimized geometry, DFT PBE; values from VASP
&SYSTEM
  ibrav = 0, nat = 12, ntyp = 3
/
ATOMIC_SPECIES
Np 237.00 Np.upf
Sc 44.96 Sc.upf
Co 58.93 Co.upf
CELL_PARAMETERS angstrom
2.426 1.401 7.943
-2.426 1.401 7.943
0.000 -2.802 7.943
ATOMIC_POSITIONS angstrom
Np 0.000 0.000 0.000
Sc 0.000 0.000 3.373
Sc 0.000 0.000 20.457
Co -1.232 -0.711 9.947
Co 0.000 0.000 7.987
Co 0.000 -1.423 13.883
Co -1.232 0.711 13.883
Co 0.000 0.000 11.915
Co 1.232 -0.711 9.947
Co 0.000 1.423 9.947
Co 0.000 0.000 15.842
Co 1.232 0.711 13.883
! Energy of formation from the pure elements   -0.196 eV per atom

[4]
! NpCoSe4, optimized geometry, DFT PBE; values from VASP
&SYSTEM
  ibrav = 0, nat = 12, ntyp = 3
/
ATOMIC_SPECIES
Np 237.00 Np.upf
Co 58.93 Co.upf
Se 78.96 Se.upf
CELL_PARAMETERS angstrom
6.736 0.000 0.000
0.000 6.478 0.000
-0.948 0.000 5.995
ATOMIC_POSITIONS angstrom
Np 0.000 0.000 0.000
Np -0.474 3.239 2.998
Co 2.894 0.000 2.998
Co 3.368 3.239 0.000
Se 0.968 1.046 2.414
Se 0.494 2.194 5.411
Se 1.965 4.589 1.627
Se 1.491 5.128 4.624
Se 4.296 1.350 1.371
Se 3.822 1.889 4.368
Se 5.293 4.285 0.584
Se 4.819 5.433 3.582
! Final energy   -73.5 eV for the cell shown

[5]
! NpCoSe2, optimized geometry, DFT PBE; values from VASP
&SYSTEM
  ibrav = 0, nat = 12, ntyp = 3
/
ATOMIC_SPECIES
Np 237.00 Np.upf
Co 58.93 Co.upf
Se 78.96 Se.upf
CELL_PARAMETERS angstrom
3.389 0.000 0.000
-1.694 2.935 0.000
0.000 0.000 25.624
ATOMIC_POSITIONS angstrom
Np 0.000 0.000 0.000
Np 0.000 1.956 17.082
Np 1.694 0.978 8.541
Co 0.000 0.000 12.812
Co 0.000 1.956 4.271
Co 1.694 0.978 21.353
Se 0.000 0.000 2.932
Se 0.000 0.000 22.691
Se 0.000 1.956 14.150
Se 0.000 1.956 20.015
Se 1.694 0.978 5.609
Se 1.694 0.978 11.474
! Final energy   -81.4 eV for the cell shown

[6]
! Np3Tl3CoSe8, optimized geometry, DFT PBE; values from VASP
&SYSTEM
  ibrav = 0, nat = 15, ntyp = 4
/
ATOMIC_SPECIES
Np 237.00 Np.upf
Tl 204.38 Tl.upf
Co 58.93 Co.upf
Se 78.96 Se.upf
CELL_PARAMETERS angstrom
4.001 2.310 7.985
-4.001 2.310 7.985
0.000 -4.620 7.985
ATOMIC_POSITIONS angstrom
Np -2.000 -1.155 7.985
Np -2.000 1.155 15.970
Np 0.000 2.310 7.985
Tl -4.001 0.000 11.978
Tl -2.000 1.155 3.992
Tl 2.000 1.155 3.993
Co 0.000 0.000 0.000
Se 0.000 -2.510 9.473
Se -2.174 1.255 9.473
Se -2.174 -1.255 14.482
Se 0.000 0.000 6.312
Se 0.000 0.000 17.643
Se 2.174 1.255 9.473
Se 2.174 -1.255 14.482
Se 0.000 2.510 14.482
! Final energy   -91.7 eV for the cell shown

[7]
! Np3Tl4CoSe8, optimized geometry, DFT PBE; values from VASP
&SYSTEM
  ibrav = 0, nat = 16, ntyp = 4
/
ATOMIC_SPECIES
Np 237.00 Np.upf
Tl 204.38 Tl.upf
Co 58.93 Co.upf
Se 78.96 Se.upf
CELL_PARAMETERS angstrom
7.071 -4.080 0.000
7.071 4.080 0.000
-4.725 0.000 7.796
ATOMIC_POSITIONS angstrom
Np 0.000 0.000 0.000
Np 3.536 2.040 0.000
Np 3.536 -2.040 0.000
Tl -2.362 0.000 3.898
Tl 1.173 2.040 3.898
Tl 1.173 -2.040 3.898
Tl 4.709 0.000 3.898
Co 7.071 0.000 0.000
Se 2.357 0.000 1.619
Se 5.951 1.939 1.512
Se 0.105 0.000 6.282
Se 3.468 1.939 6.284
Se 5.951 -1.939 1.512
Se 9.313 0.000 1.514
Se 3.468 -1.939 6.284
Se 7.062 0.000 6.177
! Final energy   -94.4 eV for the cell shown

[8]
! Np2Tl3CoSe6, optimized geometry, DFT PBE; values from VASP
&SYSTEM
  ibrav = 0, nat = 12, ntyp = 4
/
ATOMIC_SPECIES
Np 237.00 Np.upf
Tl 204.38 Tl.upf
Co 58.93 Co.upf
Se 78.96 Se.upf
CELL_PARAMETERS angstrom
3.465 -5.995 0.000
3.465 5.995 0.000
-2.327 0.000 7.843
ATOMIC_POSITIONS angstrom
Np 3.465 4.011 0.000
Np 3.465 -4.011 0.000
Tl -1.163 0.000 3.921
Tl 2.301 2.094 3.921
Tl 2.301 -2.094 3.921
Co 3.465 0.000 0.000
Se 0.063 1.871 6.329
Se 1.277 0.000 1.579
Se 0.063 -1.871 6.329
Se 4.539 1.871 1.514
Se 3.325 0.000 6.264
Se 4.539 -1.871 1.514
! Final energy   -68.7 eV for the cell shown